Crystalline Al2SnPd2 at its relaxed geometry. Source: Alexandria, functional GGA-PBE.

The structure belongs to space group I4/mmm (No. 139); the cell edges are 3.827, 3.827 and 12.379 Å and the angles 90.00°, 90.00° and 90.00°. Symmetry generates all atoms from Al at (0.000, 0.500, 0.250), Sn at (0.000, 0.000, 0.000) and Pd at (0.000, 0.000, 0.384).

The value obtained for the total moment is 0.000 μB/cell. Its formation energy is -0.5184 eV per atom.